Computed, not measured: a relaxed TlZnP crystal at the GGA-PBE level of DFT.

```
6
Lattice="3.984 0.000 0.000 0.000 3.984 0.000 0.000 0.000 8.987" Properties=species:S:1:pos:R:3 pbc="T T T"
P 1.992 0.000 7.475
Zn 0.000 0.000 0.000
Tl 0.000 1.992 5.971
P 0.000 1.992 1.512
Tl 1.992 0.000 3.016
Zn 1.992 1.992 0.000
```

Output
- electronic total energy (eV per atom) = -3.079